No. 1
A plane-wave DFT calculation with PBE was carried out for a relaxed NdEr2Th crystal. Values from VASP.

```
&SYSTEM
  ibrav = 0, nat = 4, ntyp = 3
/
ATOMIC_SPECIES
Nd 144.24 Nd.upf
Er 167.26 Er.upf
Th 232.04 Th.upf
CELL_PARAMETERS angstrom
3.108 -1.801 0.000
3.108 1.801 0.000
-0.009 0.000 11.438
ATOMIC_POSITIONS angstrom
Nd 0.000 0.000 0.000
Er 2.071 0.000 2.937
Er 4.136 0.000 8.501
Th -0.004 0.000 5.719
```

total moment	0.00	μB/atom
symmetry	C2/m
uncorrected energy	-21.323	eV per cell
formation energy	-0.002	eV/atom

No. 2
A plane-wave DFT calculation with PBE was carried out for a relaxed Nd2Er8Th crystal. Values from VASP.

```
&SYSTEM
  ibrav = 0, nat = 11, ntyp = 3
/
ATOMIC_SPECIES
Nd 144.24 Nd.upf
Er 167.26 Er.upf
Th 232.04 Th.upf
CELL_PARAMETERS angstrom
9.046 -2.514 0.000
9.046 2.514 0.000
-2.073 0.000 7.651
ATOMIC_POSITIONS angstrom
Nd 3.840 0.000 1.042
Nd 12.180 0.000 6.610
Er 0.314 0.000 1.770
Er 1.027 0.000 5.175
Er 4.566 0.000 4.540
Er 7.334 0.000 0.374
Er 8.686 0.000 7.277
Er 11.454 0.000 3.112
Er 14.992 0.000 2.476
Er 15.706 0.000 5.881
Th 8.010 0.000 3.826
```

total moment	0.00	μB/atom
symmetry	C2/m
uncorrected energy	-53.147	eV per cell
formation energy	0.028	eV/atom

No. 3
A plane-wave DFT calculation with PBE was carried out for a relaxed Nd3Er7Th crystal. Values from VASP.

```
&SYSTEM
  ibrav = 0, nat = 11, ntyp = 3
/
ATOMIC_SPECIES
Nd 144.24 Nd.upf
Er 167.26 Er.upf
Th 232.04 Th.upf
CELL_PARAMETERS angstrom
7.025 0.000 0.000
-3.512 6.084 0.000
0.000 0.000 8.720
ATOMIC_POSITIONS angstrom
Nd -1.738 3.053 0.000
Nd 1.738 3.053 0.000
Nd 0.000 6.062 0.000
Er 0.000 2.051 5.740
Er -1.736 5.058 5.740
Er 1.761 1.017 2.936
Er 1.736 5.058 5.740
Er 3.512 2.028 5.747
Er 5.264 1.017 2.936
Er 3.512 4.050 2.936
Th 0.000 4.056 2.942
```

total moment	0.00	μB/atom
symmetry	P3m1
uncorrected energy	-51.723	eV per cell
formation energy	0.176	eV/atom

No. 4
A plane-wave DFT calculation with PBE was carried out for a relaxed Nd7Er3Th crystal. Values from VASP.

```
&SYSTEM
  ibrav = 0, nat = 22, ntyp = 3
/
ATOMIC_SPECIES
Nd 144.24 Nd.upf
Er 167.26 Er.upf
Th 232.04 Th.upf
CELL_PARAMETERS angstrom
9.386 -3.515 0.000
9.386 3.515 0.000
0.000 0.000 11.438
ATOMIC_POSITIONS angstrom
Nd 6.362 1.743 6.100
Nd 6.362 1.743 11.057
Nd 7.729 1.667 2.860
Nd 9.386 1.885 8.579
Nd 11.042 1.667 2.860
Nd 12.410 1.743 6.100
Nd 12.410 1.743 11.057
Nd 6.362 -1.743 0.381
Nd 6.362 -1.743 5.338
Nd 7.729 -1.667 8.579
Nd 9.386 -1.885 2.860
Nd 11.042 -1.667 8.579
Nd 12.410 -1.743 0.381
Nd 12.410 -1.743 5.338
Er 0.000 0.000 0.000
Er 0.000 0.000 5.719
Er 4.630 0.040 8.579
Er 4.630 -0.040 2.860
Er 14.141 0.040 8.579
Er 14.141 -0.040 2.860
Th 9.386 0.000 0.000
Th 9.386 0.000 5.719
```

total moment	0.00	μB/atom
symmetry	Cmcm
uncorrected energy	-105.890	eV per cell
formation energy	0.140	eV/atom

Density of states at the Fermi level per entry: 1.3968, 1.5238, 1.5251, 1.7167 states/eV per atom